The following is a PBE calculation of an optimized crystal structure of K2NaHg7Pd2, from the Alexandria database.

Geometry as CIF:
```
data_K2NaHg7Pd2
_cell_length_a 7.568
_cell_length_b 7.409
_cell_length_c 13.301
_cell_angle_alpha 90.00
_cell_angle_beta 98.82
_cell_angle_gamma 90.00
_symmetry_space_group_name_H-M 'C 1 2/m 1'
_symmetry_Int_Tables_number 12
loop_
_symmetry_equiv_pos_as_xyz
'x,y,z'
'-x,-y,-z'
'-x,y,-z'
'x,-y,z'
'x+1/2,y+1/2,z'
'-x+1/2,-y+1/2,-z'
'-x+1/2,y+1/2,-z'
'x+1/2,-y+1/2,z'
loop_
_atom_site_label
_atom_site_type_symbol
_atom_site_fract_x
_atom_site_fract_y
_atom_site_fract_z
K1 K 0.089 0.000 0.352
Na1 Na 0.000 0.000 0.000
Hg1 Hg 0.000 0.500 0.000
Hg2 Hg 0.106 0.500 0.413
Hg3 Hg 0.181 0.270 0.828
Pd1 Pd 0.101 0.500 0.206
```

Calculated values
* ρ: 7.74 Mg/m³
* energy: -1.53 eV/atom


The following is a PBE calculation of an optimized crystal structure of NaSr2Cd12Ag3, from the Alexandria database.

Geometry as CIF:
```
data_NaSr2Cd12Ag3
_cell_length_a 10.0316
_cell_length_b 10.0316
_cell_length_c 18.8872
_cell_angle_alpha 90.00
_cell_angle_beta 90.00
_cell_angle_gamma 120.00
_symmetry_space_group_name_H-M 'R -3 m'
_symmetry_Int_Tables_number 166
_symmetry_space_group_name_Hall '-R 3 2"'
loop_
_atom_site_label
_atom_site_type_symbol
_atom_site_fract_x
_atom_site_fract_y
_atom_site_fract_z
Na1 Na 0.0000 0.0000 0.0000
Sr1 Sr 0.0000 0.0000 0.3990
Cd1 Cd 0.0112 0.5056 0.3556
Cd2 Cd 0.0178 0.5089 0.8129
Ag1 Ag 0.0000 0.5000 0.5000
```

Calculated values
* ρ: 5.66 Mg/m³
* energy: -1.25 eV/atom


The following is a PBE calculation of an optimized crystal structure of Er3TmRh, from the Alexandria database.

Geometry as CIF:
```
data_Er3TmRh
_cell_length_a 7.480
_cell_length_b 6.451
_cell_length_c 6.053
_cell_angle_alpha 90.00
_cell_angle_beta 90.00
_cell_angle_gamma 90.00
_symmetry_space_group_name_H-M 'P m n 21'
_symmetry_Int_Tables_number 31
loop_
_symmetry_equiv_pos_as_xyz
'x,y,z'
'-x+1/2,-y,z+1/2'
'-x,y,z'
'x+1/2,-y,z+1/2'
loop_
_atom_site_label
_atom_site_type_symbol
_atom_site_fract_x
_atom_site_fract_y
_atom_site_fract_z
Er1 Er 0.000 0.152 0.000
Er2 Er 0.250 0.311 0.506
Tm1 Tm 0.000 0.850 0.512
Rh1 Rh 0.000 0.502 0.257
```

Calculated values
* ρ: 8.80 Mg/m³
* energy above the most stable polymorph in this dataset: 0.527 eV/f.u.


The following is a PBE calculation of an optimized crystal structure of AlOsPb2, from the Alexandria database.

Geometry as CIF:
```
data_AlOsPb2
_cell_length_a 3.2378
_cell_length_b 3.2378
_cell_length_c 29.9605
_cell_angle_alpha 90.00
_cell_angle_beta 90.00
_cell_angle_gamma 120.00
_symmetry_space_group_name_H-M 'R -3 m'
_symmetry_Int_Tables_number 166
_symmetry_space_group_name_Hall '-R 3 2"'
loop_
_atom_site_label
_atom_site_type_symbol
_atom_site_fract_x
_atom_site_fract_y
_atom_site_fract_z
Al1 Al 0.0000 0.0000 0.0000
Os1 Os 0.0000 0.0000 0.5000
Pb1 Pb 0.0000 0.0000 0.2398
```

Calculated values
* ρ: 11.57 Mg/m³
* energy: -4.88 eV/atom


The following is a PBE calculation of an optimized crystal structure of HoZn2Ag, from the Alexandria database.

Geometry as CIF:
```
data_HoZn2Ag
_cell_length_a 3.329
_cell_length_b 3.329
_cell_length_c 6.886
_cell_angle_alpha 90.00
_cell_angle_beta 90.00
_cell_angle_gamma 90.00
_symmetry_space_group_name_H-M 'P 4/m m m'
_symmetry_Int_Tables_number 123
_symmetry_space_group_name_Hall '-P 4 2'
loop_
_atom_site_label
_atom_site_type_symbol
_atom_site_fract_x
_atom_site_fract_y
_atom_site_fract_z
Ho1 Ho 0.000 0.000 0.000
Zn1 Zn 0.500 0.500 0.285
Ag1 Ag 0.000 0.000 0.500
```

Calculated values
* ρ: 8.78 Mg/m³
* energy: -2.68 eV/atom


The following is a PBE calculation of an optimized crystal structure of SrTbInAg, from the Alexandria database.

Geometry as CIF:
```
data_SrTbInAg
_cell_length_a 7.699
_cell_length_b 7.699
_cell_length_c 7.699
_cell_angle_alpha 90.00
_cell_angle_beta 90.00
_cell_angle_gamma 90.00
_symmetry_space_group_name_H-M 'F -4 3 m'
_symmetry_Int_Tables_number 216
_symmetry_space_group_name_Hall 'F -4 2 3'
loop_
_atom_site_label
_atom_site_type_symbol
_atom_site_fract_x
_atom_site_fract_y
_atom_site_fract_z
Sr1 Sr 0.000 0.000 0.000
Tb1 Tb 0.000 0.000 0.500
In1 In 0.250 0.250 0.250
Ag1 Ag 0.250 0.250 0.750
```

Calculated values
* ρ: 6.83 Mg/m³
* energy: -3.28 eV/atom


The following is a PBE calculation of an optimized crystal structure of Cs2LaSn2S6, from the Alexandria database.

Geometry as CIF:
```
data_Cs2LaSn2S6
_cell_length_a 13.159
_cell_length_b 7.715
_cell_length_c 8.718
_cell_angle_alpha 90.00
_cell_angle_beta 120.74
_cell_angle_gamma 90.00
_symmetry_space_group_name_H-M 'C 1 2/m 1'
_symmetry_Int_Tables_number 12
loop_
_symmetry_equiv_pos_as_xyz
'x,y,z'
'-x,-y,-z'
'-x,y,-z'
'x,-y,z'
'x+1/2,y+1/2,z'
'-x+1/2,-y+1/2,-z'
'-x+1/2,y+1/2,-z'
'x+1/2,-y+1/2,z'
loop_
_atom_site_label
_atom_site_type_symbol
_atom_site_fract_x
_atom_site_fract_y
_atom_site_fract_z
Cs1 Cs 0.209 0.000 0.196
La1 La 0.000 0.000 0.500
Sn1 Sn 0.043 0.500 0.200
S1 S 0.050 0.242 0.783
S2 S 0.247 0.000 0.636
```

Calculated values
* ρ: 3.64 Mg/m³
* formation energy without anion corrections: -0.963 eV/atom


The following is a PBE calculation of an optimized crystal structure of CsGeW3, from the Alexandria database.

Geometry as CIF:
```
data_CsGeW3
_cell_length_a 4.858
_cell_length_b 4.858
_cell_length_c 4.858
_cell_angle_alpha 90.00
_cell_angle_beta 90.00
_cell_angle_gamma 90.00
_symmetry_space_group_name_H-M 'P m -3 m'
_symmetry_Int_Tables_number 221
_symmetry_space_group_name_Hall '-P 4 2 3'
loop_
_atom_site_label
_atom_site_type_symbol
_atom_site_fract_x
_atom_site_fract_y
_atom_site_fract_z
Cs1 Cs 0.000 0.000 0.000
Ge1 Ge 0.500 0.500 0.500
W1 W 0.000 0.500 0.500
```

Calculated values
* ρ: 10.96 Mg/m³
* energy above the most stable polymorph in this dataset: 0.000 eV/f.u.


The following is a PBE calculation of an optimized crystal structure of Ca11Tl9Pt4, from the Alexandria database.

Geometry as CIF:
```
data_Ca11Tl9Pt4
_cell_length_a 14.827
_cell_length_b 22.194
_cell_length_c 3.934
_cell_angle_alpha 90.00
_cell_angle_beta 90.00
_cell_angle_gamma 90.00
_symmetry_space_group_name_H-M 'C m m m'
_symmetry_Int_Tables_number 65
_symmetry_space_group_name_Hall '-C 2 2'
loop_
_atom_site_label
_atom_site_type_symbol
_atom_site_fract_x
_atom_site_fract_y
_atom_site_fract_z
Ca1 Ca 0.000 0.000 0.000
Ca2 Ca 0.000 0.165 0.000
Ca3 Ca 0.000 0.369 0.000
Ca4 Ca 0.197 0.500 0.000
Ca5 Ca 0.250 0.167 0.000
Tl1 Tl 0.000 0.500 0.500
Tl2 Tl 0.111 0.260 0.500
Tl3 Tl 0.141 0.075 0.500
Pt1 Pt 0.146 0.402 0.500
```

Calculated values
* ρ: 7.85 Mg/m³
* energy: -3.38 eV/atom


The following is a PBE calculation of an optimized crystal structure of Th3Tl3Ag2, from the Alexandria database.

Geometry as CIF:
```
data_Th3Tl3Ag2
_cell_length_a 4.827
_cell_length_b 11.330
_cell_length_c 15.822
_cell_angle_alpha 90.00
_cell_angle_beta 90.00
_cell_angle_gamma 90.00
_symmetry_space_group_name_H-M 'C m c m'
_symmetry_Int_Tables_number 63
_symmetry_space_group_name_Hall '-C 2c 2'
loop_
_atom_site_label
_atom_site_type_symbol
_atom_site_fract_x
_atom_site_fract_y
_atom_site_fract_z
Th1 Th 0.000 0.084 0.109
Th2 Th 0.000 0.342 0.250
Tl1 Tl 0.000 0.370 0.750
Tl2 Tl 0.000 0.382 0.042
Ag1 Ag 0.000 0.211 0.606
```

Calculated values
* ρ: 11.71 Mg/m³
* energy: -4.47 eV/atom


The following is a PBE calculation of an optimized crystal structure of NaPmMg, from the Alexandria database.

Geometry as CIF:
```
data_NaPmMg
_cell_length_a 3.441
_cell_length_b 3.441
_cell_length_c 15.768
_cell_angle_alpha 90.00
_cell_angle_beta 90.00
_cell_angle_gamma 90.00
_symmetry_space_group_name_H-M 'I 4 m m'
_symmetry_Int_Tables_number 107
_symmetry_space_group_name_Hall 'I 4 -2'
loop_
_atom_site_label
_atom_site_type_symbol
_atom_site_fract_x
_atom_site_fract_y
_atom_site_fract_z
Na1 Na 0.000 0.000 0.000
Pm1 Pm 0.000 0.000 0.692
Mg1 Mg 0.000 0.000 0.339
```

Calculated values
* ρ: 3.42 Mg/m³
* energy above the most stable polymorph in this dataset: 0.077 eV/f.u.


The following is a PBE calculation of an optimized crystal structure of BaCa2AuN, from the Alexandria database.

Geometry as CIF:
```
data_BaCa2AuN
_cell_length_a 4.812
_cell_length_b 4.812
_cell_length_c 5.762
_cell_angle_alpha 90.00
_cell_angle_beta 90.00
_cell_angle_gamma 90.00
_symmetry_space_group_name_H-M 'P 4/m m m'
_symmetry_Int_Tables_number 123
_symmetry_space_group_name_Hall '-P 4 2'
loop_
_atom_site_label
_atom_site_type_symbol
_atom_site_fract_x
_atom_site_fract_y
_atom_site_fract_z
Ba1 Ba 0.000 0.000 0.000
Ca1 Ca 0.000 0.500 0.500
Au1 Au 0.500 0.500 0.000
N1 N 0.000 0.000 0.500
```

Calculated values
* ρ: 5.33 Mg/m³
* formation energy without anion corrections: -0.610 eV/atom